Entry 1:
First-principles (PBE) data for Na2CaZnBr6 after structural relaxation, as listed in Alexandria via LeMat-Bulk.

Its space group is No. 99. For the formation energy (no corrections), the calculation gives -132.1 kJ/mol of atoms.

Structure (extended XYZ):
```
10
Lattice="7.557 0.000 0.000 0.000 7.557 0.000 0.000 0.000 6.093" Properties=species:S:1:pos:R:3 pbc="T T T"
Na 0.000 3.779 0.000
Na 3.779 0.000 0.000
Ca 0.000 0.000 4.097
Zn 3.779 3.779 3.909
Br 0.000 0.000 1.290
Br 1.993 1.993 4.716
Br 1.993 5.564 4.716
Br 3.779 3.779 1.562
Br 5.564 1.993 4.716
Br 5.564 5.564 4.716
```

Entry 2:
First-principles (PBE) data for CuTcAs2 after structural relaxation, as listed in Alexandria via LeMat-Bulk.

Its space group is No. 216. The energy is -5.40 eV per atom.

Structure (extended XYZ):
```
4
Lattice="0.000 3.139 3.139 3.139 0.000 3.139 3.139 3.139 0.000" Properties=species:S:1:pos:R:3 pbc="T T T"
Cu 0.000 0.000 0.000
Tc 4.708 4.708 4.708
As 1.569 1.569 1.569
As 3.139 3.139 3.139
```

Entry 3:
First-principles (PBE) data for Dy2MgSnN4 after structural relaxation, as listed in Alexandria via LeMat-Bulk.

Its space group is No. 10. For the formation energy (no corrections), the calculation gives -88.0 kJ/mol of atoms.

Structure (extended XYZ):
```
8
Lattice="5.633 0.000 0.000 0.000 3.412 0.000 -1.839 0.000 5.496" Properties=species:S:1:pos:R:3 pbc="T T T"
Dy 0.000 0.000 0.000
Dy -0.919 1.706 2.748
Mg 1.897 0.000 2.748
Sn 2.817 1.706 0.000
N 1.006 1.706 1.349
N 0.095 0.000 4.124
N 3.699 0.000 1.372
N 2.789 1.706 4.147
```

Entry 4:
First-principles (PBE) data for Mn2TlIn after structural relaxation, as listed in Alexandria via LeMat-Bulk.

Its space group is No. 122. The energy is -5.21 eV per atom.

Structure (extended XYZ):
```
8
Lattice="-3.779 3.779 2.982 3.779 -3.779 2.982 3.779 3.779 -2.982" Properties=species:S:1:pos:R:3 pbc="T T T"
Mn 1.889 1.872 -0.746
Mn 1.907 -1.889 3.728
Mn 1.889 1.907 2.237
Mn 1.872 5.668 0.746
Tl 3.779 0.000 1.491
Tl 0.000 0.000 2.982
In 0.000 0.000 0.000
In 0.000 3.779 1.491
```